BeNi5B2 | Alexandria via LeMat-Bulk | GGA-PBE | optimized geometry; energy of formation from the pure elements = -0.207 eV per atom
1.0
-1.2758 2.8069 5.1608
1.2758 -2.8069 5.1608
1.2758 2.8069 -5.1608
Be Ni B
1 5 2
direct
0.0000 0.0000 0.0000
0.0799 0.3555 0.7244
0.3688 0.6445 0.7244
0.5000 0.0000 0.5000
0.6312 0.3555 0.2756
0.9201 0.6445 0.2756
0.2996 0.7996 0.5000
0.7004 0.2004 0.5000



Be5Ni12B2 | Alexandria via LeMat-Bulk | GGA-PBE | optimized geometry; energy of formation from the pure elements = -0.202 eV per atom
1.0
6.1242 -2.4423 0.0000
6.1242 2.4423 0.0000
-0.7821 0.0000 6.1196
Be Ni B
5 12 2
direct
0.0000 0.0000 0.0000
0.2258 0.2258 0.7460
0.2858 0.2858 0.2542
0.7142 0.7142 0.7458
0.7742 0.7742 0.2540
0.0435 0.0435 0.6889
0.0921 0.6007 0.5732
0.0993 0.5976 0.9798
0.3993 0.9079 0.4268
0.4024 0.9007 0.0202
0.4999 0.4999 0.2020
0.5001 0.5001 0.7980
0.5976 0.0993 0.9798
0.6007 0.0921 0.5732
0.9007 0.4024 0.0202
0.9079 0.3993 0.4268
0.9565 0.9565 0.3111
0.3218 0.6782 0.5000
0.6782 0.3218 0.5000



BeNi2B | Alexandria via LeMat-Bulk | GGA-PBE | optimized geometry; energy of formation from the pure elements = -0.242 eV per atom
1.0
0.0000 2.5552 2.5552
2.5552 0.0000 2.5552
2.5552 2.5552 0.0000
Be Ni B
1 2 1
direct
0.0000 0.0000 0.0000
0.2500 0.2500 0.2500
0.7500 0.7500 0.7500
0.5000 0.5000 0.5000



Be5Ni6B | Alexandria via LeMat-Bulk | GGA-PBE | optimized geometry; energy of formation from the pure elements = -0.405 eV per atom
1.0
1.8264 -5.4807 0.0000
1.8264 5.4807 0.0000
0.0000 0.0000 5.2263
Be Ni B
5 6 1
direct
0.0000 0.0000 0.0000
0.3282 0.6718 0.5000
0.3312 0.6688 0.0000
0.6688 0.3312 0.0000
0.6718 0.3282 0.5000
0.1615 0.8385 0.2551
0.1615 0.8385 0.7449
0.5000 0.5000 0.2604
0.5000 0.5000 0.7396
0.8385 0.1615 0.2551
0.8385 0.1615 0.7449
0.0000 0.0000 0.5000



BeNi2B | Alexandria via LeMat-Bulk | GGA-PBE | optimized geometry; energy of formation from the pure elements = -0.241 eV per atom
1.0
2.4630 0.0000 0.0000
0.0000 2.4630 0.0000
0.0000 0.0000 5.6383
Be Ni B
1 2 1
direct
0.0000 0.0000 0.0000
0.5000 0.5000 0.2788
0.5000 0.5000 0.7212
0.0000 0.0000 0.5000



BeNi6B | Alexandria via LeMat-Bulk | GGA-PBE | optimized geometry; energy of formation from the pure elements = 0.058 eV per atom
1.0
4.6877 0.0000 0.0000
-2.3397 4.0834 0.0000
-2.3301 -1.3687 4.3766
Be Ni B
1 6 1
direct
0.0000 0.0000 0.0000
0.1899 0.4630 0.2510
0.2094 0.2735 0.7484
0.4745 0.9368 0.7480
0.5255 0.0632 0.2520
0.7906 0.7265 0.2516
0.8101 0.5370 0.7490
0.0000 0.5000 0.5000



no.,N(E_F) (states/eV per atom),electronic total energy (eV per atom)
1,0.51,-5.9559
2,0.69,-5.5368
3,0.60,-5.7340
4,0.62,-5.4047
5,0.65,-5.7328
6,1.16,-5.5784